Computed, not measured: ScCo4Au after structural relaxation at the GGA-PBE level of DFT.

a = 4.855 Å, b = 4.855 Å, c = 4.855 Å
α = 60.00°, β = 60.00°, γ = 60.00°
Sites, in units of the cell vectors:
1 Sc 0.000 0.000 0.000
2 Co 0.375 0.375 0.375
3 Co 0.375 0.375 0.874
4 Co 0.375 0.874 0.375
5 Co 0.874 0.375 0.375
6 Au 0.750 0.750 0.750

Final energy   -39.3 eV/f.u.
Formation energy   -0.20 eV per atom



Computed, not measured: Al2SiCl after structural relaxation at the GGA-PBE level of DFT.

a = 3.098 Å, b = 4.957 Å, c = 4.868 Å
α = 90.00°, β = 99.09°, γ = 90.00°
Sites, in units of the cell vectors:
1 Al 0.000 0.000 0.000
2 Al 0.395 0.500 0.456
3 Si 0.651 0.000 0.462
4 Cl 0.141 0.500 0.956

Energy relative to the lowest polymorph listed for this composition   0.000 eV/atom
Final energy   -14.9 eV/f.u.



Computed, not measured: ZrRe3Ag after structural relaxation at the GGA-PBE level of DFT.

a = 4.732 Å, b = 4.732 Å, c = 4.732 Å
α = 90.00°, β = 90.00°, γ = 90.00°
Sites, in units of the cell vectors:
1 Zr 0.000 0.000 0.000
2 Re 0.000 0.500 0.500
3 Re 0.500 0.000 0.500
4 Re 0.500 0.500 0.000
5 Ag 0.500 0.500 0.500

Final energy   -36.2 eV/f.u.
Formation energy   2.51 eV per atom



Computed, not measured: GdHfGaIr after structural relaxation at the GGA-PBE level of DFT.

a = 4.839 Å, b = 4.839 Å, c = 4.839 Å
α = 60.00°, β = 60.00°, γ = 60.00°
Sites, in units of the cell vectors:
1 Gd 0.000 0.000 0.000
2 Hf 0.500 0.500 0.500
3 Ga 0.250 0.250 0.250
4 Ir 0.750 0.750 0.750

Final energy   -38.0 eV/f.u.
Formation energy   -0.52 eV per atom



Computed, not measured: NdY3 after structural relaxation at the GGA-PBE level of DFT.

a = 7.319 Å, b = 7.319 Å, c = 5.754 Å
α = 90.00°, β = 90.00°, γ = 120.00°
Sites, in units of the cell vectors:
1 Nd 0.333 0.667 0.250
2 Nd 0.667 0.333 0.750
3 Y 0.166 0.332 0.750
4 Y 0.166 0.834 0.750
5 Y 0.332 0.166 0.250
6 Y 0.668 0.834 0.750
7 Y 0.834 0.166 0.250
8 Y 0.834 0.668 0.250

Energy relative to the lowest polymorph listed for this composition   0.000 eV/atom
Final energy   -24.1 eV/f.u.
Formation energy   0.01 eV per atom



Computed, not measured: DyHoAs2Rh5 after structural relaxation at the GGA-PBE level of DFT.

a = 4.227 Å, b = 4.227 Å, c = 8.775 Å
α = 90.00°, β = 90.00°, γ = 90.00°
Sites, in units of the cell vectors:
1 Dy 0.000 0.000 0.000
2 Ho 0.000 0.000 0.500
3 As 0.500 0.500 0.354
4 As 0.500 0.500 0.646
5 Rh 0.000 0.500 0.232
6 Rh 0.000 0.500 0.768
7 Rh 0.500 0.000 0.232
8 Rh 0.500 0.000 0.768
9 Rh 0.500 0.500 0.000

Final energy   -62.4 eV/f.u.
Formation energy   -0.80 eV per atom



Computed, not measured: KLiSi3 after structural relaxation at the GGA-PBE level of DFT.

a = 5.501 Å, b = 5.501 Å, c = 5.501 Å
α = 90.00°, β = 90.00°, γ = 90.00°
Sites, in units of the cell vectors:
1 K 0.000 0.000 0.000
2 Li 0.500 0.500 0.500
3 Si 0.000 0.000 0.500
4 Si 0.000 0.500 0.000
5 Si 0.500 0.000 0.000

Energy relative to the lowest polymorph listed for this composition   1.114 eV/atom
Final energy   -10.3 eV/f.u.



Computed, not measured: TlAg2Os after structural relaxation at the GGA-PBE level of DFT.

a = 2.896 Å, b = 2.896 Å, c = 10.215 Å
α = 90.00°, β = 90.00°, γ = 117.59°
Sites, in units of the cell vectors:
1 Tl 0.000 0.000 0.000
2 Ag 0.500 0.500 0.269
3 Ag 0.500 0.500 0.731
4 Os 0.000 0.000 0.500

Energy relative to the lowest polymorph listed for this composition   0.079 eV/atom
Final energy   -16.4 eV/f.u.
Formation energy   0.71 eV per atom



N(E_F) / states/eV/atom: 1.18 0.25 2.04 0.65 1.98 0.61 0.74 0.92